Computed, not measured: a relaxed structure of Na5B8C2 at the PBE-GGA level of DFT.

Cell and atoms, written as POSCAR:
```
Na5B8C2
1.0
8.999 -1.425 0.000
8.999 1.425 0.000
-5.219 0.000 12.565
Na B C
10 16 4
Cartesian
0.000 0.000 0.000
-2.583 0.000 6.223
1.535 0.000 4.980
-1.059 0.000 11.283
3.037 0.000 10.026
5.666 0.000 3.730
9.758 0.000 2.500
7.204 0.000 8.747
11.270 0.000 7.490
13.950 0.000 1.226
-3.644 0.000 10.177
-1.019 0.000 3.947
-0.017 0.000 7.290
2.641 0.000 1.215
0.508 0.000 9.042
4.098 0.000 5.988
1.507 0.000 12.387
4.577 0.000 7.616
7.256 0.000 1.586
5.654 0.000 11.215
8.685 0.000 6.282
11.342 0.000 0.225
12.313 0.000 3.421
12.825 0.000 5.070
10.208 0.000 11.393
13.876 0.000 8.594
3.087 0.000 2.700
8.222 0.000 4.728
9.741 0.000 9.826
16.490 0.000 2.359
```

Output
Symmetry: Cm (8)
Density (g/cm3): 2.32
ΔE to the lowest computed polymorph (eV per formula unit): 0.33
Energy of formation (meV per atom): 192

Computed, not measured: a relaxed structure of Na8B15C at the PBE-GGA level of DFT.

Cell and atoms, written as POSCAR:
```
Na8B15C
1.0
6.001 0.000 0.000
-3.001 5.197 0.000
0.000 0.000 8.653
Na B C
8 15 1
Cartesian
0.000 0.000 2.149
0.000 0.000 6.504
-1.499 2.599 2.148
-1.499 2.599 6.505
0.000 5.196 2.148
0.000 5.196 6.505
1.499 2.599 2.148
1.499 2.599 6.505
0.000 1.735 0.000
-1.498 4.330 0.000
0.000 1.848 4.326
-1.401 4.274 4.326
1.464 0.845 4.326
0.000 3.465 0.000
1.502 0.867 0.000
1.401 4.274 4.326
1.498 4.330 0.000
3.001 1.732 0.000
3.001 1.732 4.326
4.500 0.867 0.000
3.001 3.463 0.000
4.537 0.845 4.326
3.001 3.507 4.326
0.000 3.465 4.326
```

Output
Symmetry: P-6m2 (187)
Density (g/cm3): 2.20
ΔE to the lowest computed polymorph (eV per formula unit): 0.17
Energy of formation (meV per atom): 276